# 1
Compound: NaMg2Re
Source: Alexandria via LeMat-Bulk
Functional: PBE-GGA
Structure: optimized geometry

Properties
* density of states at the Fermi level: 1.140 states/eV/atom
* formation energy from the elements: 4.85 eV per formula unit
* energy relative to the lowest polymorph listed for this composition: 494 meV/atom

Structure (CIF):
```
data_NaMg2Re
_space_group_name_H-M_alt 'I -4 2 d'
_space_group_IT_number 122
_space_group_name_Hall 'I -4 2bw'
_cell_length_a 4.2204
_cell_length_b 4.2204
_cell_length_c 19.2664
_cell_angle_alpha 90.00
_cell_angle_beta 90.00
_cell_angle_gamma 90.00
loop_
_atom_site_label
_atom_site_fract_x
_atom_site_fract_y
_atom_site_fract_z
Na1 0.0000 0.0000 0.0000
Mg1 0.2228 0.2500 0.6250
Re1 0.0000 0.0000 0.5000
```

# 2
Compound: NaMgRe2Si
Source: Alexandria via LeMat-Bulk
Functional: PBE-GGA
Structure: optimized geometry

Properties
* density of states at the Fermi level: 0.613 states/eV/atom
* formation energy from raw total energies: 2.479 eV per atom

Structure (CIF):
```
data_NaMgRe2Si
_space_group_name_H-M_alt 'P 4/m m m'
_space_group_IT_number 123
_space_group_name_Hall '-P 4 2'
_cell_length_a 4.6678
_cell_length_b 4.6678
_cell_length_c 4.5705
_cell_angle_alpha 90.00
_cell_angle_beta 90.00
_cell_angle_gamma 90.00
loop_
_atom_site_label
_atom_site_fract_x
_atom_site_fract_y
_atom_site_fract_z
Na1 0.0000 0.0000 0.0000
Mg1 0.5000 0.5000 0.5000
Re1 0.0000 0.5000 0.0000
Si1 0.0000 0.0000 0.5000
```